Entry 1:
Here is a geometry-optimized BaAcMnO4 structure from Alexandria via LeMat-Bulk. Energies are from GGA+U.

Summary:
The calculated total energy is -7.32 eV per atom. The calculation puts the total magnetic moment at 0.57 μB/atom.

Cell: 4.044 4.044 13.197 Å, 90.00 90.00 90.00°
Space group I4mm (No. 107)
Symmetry-distinct sites (fractional):
Ba 0.000 0.000 0.000 x2
Ac 0.000 0.000 0.718 x2
Mn 0.000 0.000 0.358 x2
O 0.000 0.000 0.198 x2
O 0.000 0.000 0.527 x2
O 0.000 0.500 0.349 x4



Entry 2:
Here is a geometry-optimized BaAc4Mn3O12 structure from Alexandria via LeMat-Bulk. Energies are from GGA+U.

Summary:
The calculated total energy is -7.41 eV per atom. The calculation puts the total magnetic moment at 0.54 μB/atom.

Cell: 8.777 8.777 8.777 Å, 90.00 90.00 90.00°
Space group Im-3 (No. 204)
Symmetry-distinct sites (fractional):
Ba 0.000 0.000 0.000 x2
Ac 0.250 0.250 0.250 x8
Mn 0.000 0.000 0.500 x6
O 0.000 0.148 0.335 x24